1.
First-principles (PBE-GGA) data for a geometry-optimized Ca2ThIr structure, as listed in Alexandria via LeMat-Bulk.

The density is 6.1 g/cm³. As for the crystal system: orthorhombic. Its total energy is -5.559 eV/atom.

The space group is Pmn2_1 (No. 31) and the conventional cell measures 4.058, 16.701 and 4.059 Å, with angles of 90.00, 90.00 and 90.00 degrees. The inequivalent atoms are Ca at (0.000, 0.077, 0.000), Ca at (0.000, 0.762, 0.999), Th at (0.000, 0.417, 0.997) and Ir at (0.000, 0.592, 0.997).

2.
First-principles (PBE-GGA) data for a geometry-optimized CaThIr4 structure, as listed in Alexandria via LeMat-Bulk.

The density is 15.4 g/cm³. As for the crystal system: cubic. Its total energy is -8.175 eV/atom.

The space group is F-43m (No. 216) and the conventional cell measures 7.652, 7.652 and 7.652 Å, with angles of 90.00, 90.00 and 90.00 degrees. The inequivalent atoms are Ca at (0.000, 0.000, 0.000), Th at (0.250, 0.250, 0.250) and Ir at (0.126, 0.126, 0.626).

3.
First-principles (PBE-GGA) data for a geometry-optimized CaTh2Ir structure, as listed in Alexandria via LeMat-Bulk.

The density is 7.8 g/cm³. For the relative energy among the computed polymorphs, the calculation gives 0.141 eV/atom. As for the crystal system: trigonal.

The space group is R-3m (No. 166, hexagonal axes) and the conventional cell measures 4.0017, 4.0017 and 32.1379 Å, with angles of 90.00, 90.00 and 120.00 degrees. The inequivalent atoms are Ca at (0.0000, 0.0000, 0.0000), Th at (0.0000, 0.0000, 0.1159) and Ir at (0.0000, 0.0000, 0.5000).

4.
First-principles (PBE-GGA) data for a geometry-optimized CaTh2Ir9 structure, as listed in Alexandria via LeMat-Bulk.

The density is 16.7 g/cm³. As for the crystal system: trigonal. Its total energy is -8.585 eV/atom.

The space group is R-3m (No. 166, hexagonal axes) and the conventional cell measures 5.3634, 5.3634 and 26.7015 Å, with angles of 90.00, 90.00 and 120.00 degrees. The inequivalent atoms are Ca at (0.0000, 0.0000, 0.0000), Th at (0.0000, 0.0000, 0.1367), Ir at (0.0000, 0.0000, 0.3321), Ir at (0.0000, 0.0000, 0.5000) and Ir at (0.0008, 0.5004, 0.0812).

5.
First-principles (PBE-GGA) data for a geometry-optimized CaTh3Ir8 structure, as listed in Alexandria via LeMat-Bulk.

The density is 16.6 g/cm³. As for the crystal system: trigonal. Its total energy is -8.686 eV/atom.

The space group is R3m (No. 160, hexagonal axes) and the conventional cell measures 5.4371, 5.4371 and 26.6283 Å, with angles of 90.00, 90.00 and 120.00 degrees. The inequivalent atoms are Ca at (0.0000, 0.0000, 0.0000), Th at (0.0000, 0.0000, 0.1231), Th at (0.0000, 0.0000, 0.5034), Th at (0.0000, 0.0000, 0.6299), Ir at (0.0000, 0.0000, 0.3142), Ir at (0.0000, 0.0000, 0.8139), Ir at (0.0031, 0.5015, 0.0642) and Ir at (0.1672, 0.3345, 0.8970).

6.
First-principles (PBE-GGA) data for a geometry-optimized CaTh2Ir structure, as listed in Alexandria via LeMat-Bulk.

The density is 8.4 g/cm³. For the relative energy among the computed polymorphs, the calculation gives 0.000 eV/atom. As for the crystal system: trigonal.

The space group is R3m (No. 160, hexagonal axes) and the conventional cell measures 4.0850, 4.0850 and 28.4566 Å, with angles of 90.00, 90.00 and 120.00 degrees. The inequivalent atoms are Ca at (0.0000, 0.0000, 0.0000), Th at (0.0000, 0.0000, 0.2242), Th at (0.0000, 0.0000, 0.4454) and Ir at (0.0000, 0.0000, 0.8352).

7.
First-principles (PBE-GGA) data for a geometry-optimized Ca2ThIr2 structure, as listed in Alexandria via LeMat-Bulk.

The density is 9.2 g/cm³. As for the crystal system: trigonal. Its total energy is -6.405 eV/atom.

The space group is P-3m1 (No. 164) and the conventional cell measures 4.7540, 4.7540 and 6.4309 Å, with angles of 90.00, 90.00 and 120.00 degrees. The inequivalent atoms are Ca at (0.3333, 0.6667, 0.3517), Th at (0.0000, 0.0000, 0.0000) and Ir at (0.3333, 0.6667, 0.8564).

8.
First-principles (PBE-GGA) data for a geometry-optimized Ca2Th2Ir3 structure, as listed in Alexandria via LeMat-Bulk.

The density is 10.8 g/cm³. As for the crystal system: triclinic. Its total energy is -7.152 eV/atom.

The space group is P-1 (No. 2) and the conventional cell measures 4.918, 4.920 and 8.659 Å, with angles of 106.33, 90.15 and 119.97 degrees. The inequivalent atoms are Ca at (0.130, 0.259, 0.390), Th at (0.380, 0.760, 0.141), Ir at (0.000, 0.000, 0.000) and Ir at (0.259, 0.516, 0.774).

9.
First-principles (PBE-GGA) data for a geometry-optimized CaThTlIr structure, as listed in Alexandria via LeMat-Bulk.

The density is 11.1 g/cm³. As for the crystal system: cubic. Its total energy is -5.453 eV/atom.

The space group is F-43m (No. 216) and the conventional cell measures 7.371, 7.371 and 7.371 Å, with angles of 90.00, 90.00 and 90.00 degrees. The inequivalent atoms are Ca at (0.000, 0.000, 0.000), Th at (0.000, 0.000, 0.500), Tl at (0.250, 0.250, 0.250) and Ir at (0.250, 0.250, 0.750).

10.
First-principles (PBE-GGA) data for a geometry-optimized CaThZnIr structure, as listed in Alexandria via LeMat-Bulk.

The density is 9.7 g/cm³. As for the crystal system: cubic. Its total energy is -5.311 eV/atom.

The space group is F-43m (No. 216) and the conventional cell measures 7.124, 7.124 and 7.124 Å, with angles of 90.00, 90.00 and 90.00 degrees. The inequivalent atoms are Ca at (0.000, 0.000, 0.000), Th at (0.000, 0.000, 0.500), Zn at (0.250, 0.250, 0.750) and Ir at (0.250, 0.250, 0.250).

11.
First-principles (PBE-GGA) data for a geometry-optimized CaTiIr4 structure, as listed in Alexandria via LeMat-Bulk.

The density is 13.9 g/cm³. As for the crystal system: cubic. Its total energy is -7.929 eV/atom.

The space group is F-43m (No. 216) and the conventional cell measures 7.427, 7.427 and 7.427 Å, with angles of 90.00, 90.00 and 90.00 degrees. The inequivalent atoms are Ca at (0.000, 0.000, 0.000), Ti at (0.250, 0.250, 0.250) and Ir at (0.125, 0.125, 0.625).

12.
First-principles (PBE-GGA) data for a geometry-optimized CaTi2Ir3 structure, as listed in Alexandria via LeMat-Bulk.

The density is 11.8 g/cm³. As for the crystal system: tetragonal. Its total energy is -8.119 eV/atom.

The space group is P4/mmm (No. 123) and the conventional cell measures 3.055, 3.055 and 10.757 Å, with angles of 90.00, 90.00 and 90.00 degrees. The inequivalent atoms are Ca at (0.000, 0.000, 0.000), Ti at (0.000, 0.000, 0.342), Ir at (0.500, 0.500, 0.209) and Ir at (0.500, 0.500, 0.500).